No. 1
Computed, not measured: a relaxed structure of Pr2Ge3AsPt4 at the PBE-GGA level of DFT.

Results
- DFT formation energy: -918 meV per atom
- Space-group type: P-4m2, No. 115
- Calculated density: 11.4 g/cm3
- Electronic total energy: -61.4 eV for the cell shown

Cell and atoms, written as POSCAR:
```
Pr2Ge3AsPt4
1.0
4.444 0.000 0.000
0.000 4.444 0.000
0.000 0.000 9.978
Pr Ge As Pt
2 3 1 4
Direct
0.000 0.500 0.250
0.500 0.000 0.750
0.000 0.000 0.000
0.000 0.500 0.628
0.500 0.000 0.372
0.500 0.500 0.000
0.000 0.000 0.500
0.000 0.500 0.876
0.500 0.000 0.124
0.500 0.500 0.500
```

---

No. 2
Computed, not measured: a relaxed structure of Pr3GeAs2Rh8 at the PBE-GGA level of DFT.

Results
- DFT formation energy: -590 meV per atom
- Space-group type: P-3m1, No. 164
- Calculated density: 9.6 g/cm3
- Electronic total energy: -95.3 eV for the cell shown

Cell and atoms, written as POSCAR:
```
Pr3GeAs2Rh8
1.0
5.493 0.000 0.000
-2.746 4.757 0.000
0.000 0.000 9.724
Pr Ge As Rh
3 1 2 8
Direct
0.000 0.000 0.000
0.333 0.667 0.562
0.667 0.333 0.438
0.000 0.000 0.500
0.333 0.667 0.094
0.667 0.333 0.906
0.163 0.326 0.281
0.163 0.837 0.281
0.326 0.163 0.719
0.333 0.667 0.848
0.667 0.333 0.152
0.674 0.837 0.281
0.837 0.163 0.719
0.837 0.674 0.719
```

---

What did the first record say?
Computed, not measured: a relaxed structure of Pr2Ge3AsPt4 at the PBE-GGA level of DFT.

Results
- DFT formation energy: -918 meV per atom
- Space-group type: P-4m2, No. 115
- Calculated density: 11.4 g/cm3
- Electronic total energy: -61.4 eV for the cell shown

Cell and atoms, written as POSCAR:
```
Pr2Ge3AsPt4
1.0
4.444 0.000 0.000
0.000 4.444 0.000
0.000 0.000 9.978
Pr Ge As Pt
2 3 1 4
Direct
0.000 0.500 0.250
0.500 0.000 0.750
0.000 0.000 0.000
0.000 0.500 0.628
0.500 0.000 0.372
0.500 0.500 0.000
0.000 0.000 0.500
0.000 0.500 0.876
0.500 0.000 0.124
0.500 0.500 0.500
```